Entry 1
Material: ThGa2Os
Method: DFT, GGA-PBE
State: relaxed

Cell: 4.339 7.197 5.353 Å, 90.00 109.35 90.00°
Fractional positions:
Th  0.050  0.250  0.155
Th  0.950  0.750  0.845
Ga  0.387  0.054  0.716
Ga  0.387  0.446  0.716
Ga  0.613  0.554  0.284
Ga  0.613  0.946  0.284
Os  0.157  0.750  0.399
Os  0.843  0.250  0.601

space-group type: P2_1/m


Entry 2
Material: ThGa2Os
Method: DFT, GGA-PBE
State: relaxed

Cell: 5.646 5.646 5.646 Å, 44.76 44.76 44.76°
Fractional positions:
Th  0.000  0.000  0.000
Ga  0.213  0.213  0.213
Ga  0.787  0.787  0.787
Os  0.500  0.500  0.500

space-group type: R-3m


Verdict on stability: entry 1 comes out on top.


Entry 1
Material: TmThGaOs
Method: DFT, GGA-PBE
State: relaxed

Cell: 3.958 5.985 5.985 Å, 40.67 90.00 90.00°
Fractional positions:
Tm  0.000  0.000  0.000
Th  0.500  0.277  0.277
Ga  0.500  0.569  0.569
Os  0.000  0.730  0.730

space-group type: Amm2


Entry 2
Material: TmThGaOs
Method: DFT, GGA-PBE
State: relaxed

Cell: 5.013 5.013 5.013 Å, 60.00 60.00 60.00°
Fractional positions:
Tm  0.000  0.000  0.000
Th  0.500  0.500  0.500
Ga  0.750  0.750  0.750
Os  0.250  0.250  0.250

space-group type: F-43m


Verdict on stability: entry 1 comes out on top.


Entry 1
Material: TiGaOs3
Method: DFT, GGA-PBE
State: relaxed

Cell: 4.555 4.555 4.555 Å, 90.00 90.00 90.00°
Fractional positions:
Ti  0.000  0.000  0.000
Ga  0.500  0.500  0.500
Os  0.000  0.000  0.500
Os  0.000  0.500  0.000
Os  0.500  0.000  0.000

space-group type: Pm-3m


Entry 2
Material: TiGaOs3
Method: DFT, GGA-PBE
State: relaxed

Cell: 4.462 4.462 4.462 Å, 90.00 90.00 90.00°
Fractional positions:
Ti  0.000  0.000  0.000
Ga  0.500  0.500  0.500
Os  0.000  0.500  0.500
Os  0.500  0.000  0.500
Os  0.500  0.500  0.000

space-group type: Pm-3m


Verdict on stability: entry 2 comes out on top.